Crystalline Ca2YZn2 at its relaxed geometry. Source: Alexandria, functional PBEsol.

Lattice parameters (Å, degrees): 3.616 3.616 21.524 90.00 90.00 90.00
Space group I4/mmm (No. 139)
Symmetry-distinct sites (fractional):
Ca 0.000 0.000 0.128 (multiplicity 4)
Y 0.000 0.000 0.500 (multiplicity 2)
Zn 0.000 0.500 0.250 (multiplicity 4)

Properties
* calculated volume: 281.5 Å³ per cell
* energy above the lowest structure with this stoichiometry: 0.253 eV per atom